[1]
First-principles (PBE-GGA) data for crystalline AcSnRh3 at its relaxed geometry, as listed in the Alexandria database.

Unit cell a=6.6874 b=6.6874 c=6.6874 alpha=129.11 beta=106.65 gamma=94.74
With the nearest neighbours (Å) after each atom.
Element x y z (fractional)
Ac  0.2651  0.0151  0.2500  5 Rh 2.85-3.08
Ac  0.7349  0.9849  0.7500  5 Rh 2.85-3.08
Sn  0.0000  0.5000  0.5000  6 Rh 2.70
Sn  0.5000  0.5000  0.0000  6 Rh 2.70
Rh  0.0498  0.2998  0.7500  2 Sn 2.70, 6 Rh 2.75-3.01, 1 Ac 2.85
Rh  0.2879  0.0000  0.7879  2 Sn 2.70, 4 Rh 2.75-2.87
Rh  0.2879  0.5000  0.2879  2 Sn 2.70, 4 Rh 2.75-2.87
Rh  0.7121  0.0000  0.2121  2 Sn 2.70, 4 Rh 2.75-2.87
Rh  0.7121  0.5000  0.7121  2 Sn 2.70, 4 Rh 2.75-2.87
Rh  0.9502  0.7002  0.2500  2 Sn 2.70, 6 Rh 2.75-3.01, 1 Ac 2.85

## Properties
Energy of formation = -2.43 eV per formula unit
Mass density = 10.5 g/cm³
Total energy = -6.52 eV/atom

---

[2]
First-principles (PBE-GGA) data for crystalline AcSnRh4 at its relaxed geometry, as listed in the Alexandria database.

Unit cell a=8.9340 b=8.9340 c=6.2499 alpha=90.00 beta=90.00 gamma=152.38
With the nearest neighbours (Å) after each atom.
Element x y z (fractional)
Ac  0.0923  0.9077  0.7500  11 Rh 2.93-3.14
Ac  0.9077  0.0923  0.2500  11 Rh 2.93-3.14
Sn  0.2268  0.7732  0.2500  7 Rh 2.61-2.73
Sn  0.7732  0.2268  0.7500  7 Rh 2.61-2.73
Rh  0.0764  0.9236  0.2500  1 Sn 2.61
Rh  0.3358  0.6642  0.5383  3 Sn 2.61-2.73, 2 Rh 2.65-2.86
Rh  0.3358  0.6642  0.9617  3 Sn 2.61-2.73, 2 Rh 2.65-2.86
Rh  0.5000  0.5000  0.0000  8 Rh 2.86-3.12, 4 Ac 3.09
Rh  0.5000  0.5000  0.5000  8 Rh 2.86-3.12, 4 Ac 3.09
Rh  0.6642  0.3358  0.0383  3 Sn 2.61-2.73, 2 Rh 2.65-2.86
Rh  0.6642  0.3358  0.4617  3 Sn 2.61-2.73, 2 Rh 2.65-2.86
Rh  0.9236  0.0764  0.7500  1 Sn 2.61

## Properties
Energy of formation = -2.06 eV per formula unit
Mass density = 10.9 g/cm³
Total energy = -6.60 eV/atom

---

[3]
First-principles (PBE-GGA) data for crystalline Ac4Sn2Rh at its relaxed geometry, as listed in the Alexandria database.

Unit cell a=6.7495 b=6.7495 c=9.4028 alpha=119.68 beta=119.68 gamma=42.49
With the nearest neighbours (Å) after each atom.
Element x y z (fractional)
Ac  0.0782  0.0782  0.3532  1 Rh 2.92
Ac  0.3289  0.3289  0.9363  2 Rh 3.10
Ac  0.6711  0.6711  0.0637  2 Rh 3.10
Ac  0.9218  0.9218  0.6468  1 Rh 2.92
Sn  0.3665  0.3665  0.3478  1 Sn 3.04
Sn  0.6335  0.6335  0.6522  1 Sn 3.04
Rh  0.0000  0.0000  0.0000  6 Ac 2.92-3.10

## Properties
Energy of formation = -4.44 eV per formula unit
Mass density = 8.5 g/cm³
Total energy = -5.18 eV/atom

---

[4]
First-principles (PBE-GGA) data for crystalline AcSn2Rh3 at its relaxed geometry, as listed in the Alexandria database.

Unit cell a=5.9520 b=5.9520 c=4.1073 alpha=90.00 beta=90.00 gamma=120.00
With the nearest neighbours (Å) after each atom.
Element x y z (fractional)
Ac  0.0000  0.0000  0.0000  6 Sn 3.44, 12 Rh 3.62
Sn  0.3333  0.6667  0.0000  6 Rh 2.68
Sn  0.6667  0.3333  0.0000  6 Rh 2.68
Rh  0.0000  0.5000  0.5000  4 Sn 2.68, 4 Rh 2.98
Rh  0.5000  0.0000  0.5000  4 Sn 2.68, 4 Rh 2.98
Rh  0.5000  0.5000  0.5000  4 Sn 2.68, 4 Rh 2.98

## Properties
Energy of formation = -4.02 eV per formula unit
Mass density = 10.2 g/cm³
Total energy = -6.36 eV/atom

---

[5]
First-principles (PBE-GGA) data for crystalline Ac3SnRh at its relaxed geometry, as listed in the Alexandria database.

Unit cell a=9.0730 b=4.7791 c=16.0055 alpha=90.00 beta=90.00 gamma=90.00
With the nearest neighbours (Å) after each atom.
Element x y z (fractional)
Ac  0.0277  0.2500  0.1103  3 Rh 2.96-3.05
Ac  0.1558  0.2500  0.5073  2 Rh 3.10
Ac  0.1933  0.7500  0.2870  1 Rh 2.81
Ac  0.3067  0.2500  0.7870  1 Rh 2.81
Ac  0.3442  0.7500  0.0073  2 Rh 3.10
Ac  0.4723  0.7500  0.6103  3 Rh 2.96-3.05
Ac  0.5277  0.2500  0.3897  3 Rh 2.96-3.05
Ac  0.6558  0.2500  0.9927  2 Rh 3.10
Ac  0.6933  0.7500  0.2130  1 Rh 2.81
Ac  0.8067  0.2500  0.7130  1 Rh 2.81
Ac  0.8442  0.7500  0.4927  2 Rh 3.10
Ac  0.9723  0.7500  0.8897  3 Rh 2.96-3.05
Sn  0.0838  0.7500  0.6734  9 Ac 3.53-3.67
Sn  0.4162  0.2500  0.1734  9 Ac 3.53-3.67
Sn  0.5838  0.7500  0.8266  9 Ac 3.53-3.67
Sn  0.9162  0.2500  0.3266  9 Ac 3.53-3.67
Rh  0.1605  0.2500  0.9415  6 Ac 2.81-3.10
Rh  0.3395  0.7500  0.4415  6 Ac 2.81-3.10
Rh  0.6605  0.2500  0.5585  6 Ac 2.81-3.10
Rh  0.8395  0.7500  0.0585  6 Ac 2.81-3.10

## Properties
Energy of formation = -3.20 eV per formula unit
Mass density = 8.6 g/cm³
Total energy = -5.38 eV/atom

---

[6]
First-principles (PBE-GGA) data for crystalline Ac6Sn3Rh at its relaxed geometry, as listed in the Alexandria database.

Unit cell a=6.7938 b=9.2821 c=13.6690 alpha=90.00 beta=119.67 gamma=90.00
With the nearest neighbours (Å) after each atom.
Element x y z (fractional)
Ac  0.0602  0.1584  0.4302  1 Rh 3.03
Ac  0.0602  0.3416  0.9302  1 Rh 3.03
Ac  0.3260  0.6913  0.4377  1 Rh 3.06, 1 Sn 3.26
Ac  0.3260  0.8087  0.9377  1 Rh 3.06, 1 Sn 3.26
Ac  0.3872  0.0379  0.2654  1 Rh 2.93
Ac  0.3872  0.4621  0.7654  1 Rh 2.93
Ac  0.6128  0.5379  0.2346  1 Rh 2.93
Ac  0.6128  0.9621  0.7346  1 Rh 2.93
Ac  0.6740  0.1913  0.0623  1 Rh 3.06, 1 Sn 3.26
Ac  0.6740  0.3087  0.5623  1 Rh 3.06, 1 Sn 3.26
Ac  0.9398  0.6584  0.0698  1 Rh 3.03
Ac  0.9398  0.8416  0.5698  1 Rh 3.03
Sn  0.0000  0.0000  0.0000  6 Ac 3.26-3.39
Sn  0.0000  0.5000  0.5000  6 Ac 3.26-3.39
Sn  0.1759  0.1182  0.7605  6 Ac 3.44-3.60
Sn  0.1759  0.3818  0.2605  6 Ac 3.44-3.60
Sn  0.8241  0.6182  0.7395  6 Ac 3.44-3.60
Sn  0.8241  0.8818  0.2395  6 Ac 3.44-3.60
Rh  0.5000  0.0000  0.5000  6 Ac 2.93-3.06
Rh  0.5000  0.5000  0.0000  6 Ac 2.93-3.06

## Properties
Energy of formation = -5.39 eV per formula unit
Mass density = 8.1 g/cm³
Total energy = -4.94 eV/atom

---

[7]
First-principles (PBE-GGA) data for crystalline Ac8SnRh2 at its relaxed geometry, as listed in the Alexandria database.

Unit cell a=8.2319 b=8.2319 c=6.9242 alpha=92.91 beta=92.91 gamma=67.66
With the nearest neighbours (Å) after each atom.
Element x y z (fractional)
Ac  0.0759  0.6405  0.3295  2 Rh 3.03-3.07
Ac  0.1174  0.1174  0.1790  1 Rh 2.95
Ac  0.3595  0.9241  0.6705  2 Rh 3.03-3.07
Ac  0.3687  0.3687  0.8961  1 Rh 3.05, 1 Sn 3.37
Ac  0.6313  0.6313  0.1039  1 Rh 3.05, 1 Sn 3.37
Ac  0.6405  0.0759  0.3295  2 Rh 3.03-3.07
Ac  0.8826  0.8826  0.8210  1 Rh 2.95
Ac  0.9241  0.3595  0.6705  2 Rh 3.03-3.07
Sn  0.5000  0.5000  0.5000  2 Rh 3.03, 2 Ac 3.37
Rh  0.2782  0.2782  0.4828  6 Ac 2.95-3.07, 1 Sn 3.03
Rh  0.7218  0.7218  0.5172  6 Ac 2.95-3.07, 1 Sn 3.03

## Properties
Energy of formation = -3.29 eV per formula unit
Mass density = 8.2 g/cm³
Total energy = -4.99 eV/atom

---

[8]
First-principles (PBE-GGA) data for crystalline AcSnRh2 at its relaxed geometry, as listed in the Alexandria database.

Unit cell a=4.7758 b=4.7758 c=3.7548 alpha=90.00 beta=90.00 gamma=90.00
With the nearest neighbours (Å) after each atom.
Element x y z (fractional)
Ac  0.0000  0.0000  0.0000  8 Rh 3.04, 4 Sn 3.38
Sn  0.5000  0.5000  0.0000  8 Rh 3.04, 4 Ac 3.38
Rh  0.0000  0.5000  0.5000  4 Ac 3.04, 4 Sn 3.04, 4 Rh 3.38
Rh  0.5000  0.0000  0.5000  4 Ac 3.04, 4 Sn 3.04, 4 Rh 3.38

## Properties
Energy of formation = -1.85 eV per formula unit
Mass density = 10.7 g/cm³
Total energy = -6.17 eV/atom

---

[9]
First-principles (PBE-GGA) data for crystalline Ac3Sn6Rh2 at its relaxed geometry, as listed in the Alexandria database.

Unit cell a=16.3147 b=16.3147 c=16.3147 alpha=164.37 beta=164.37 gamma=22.18
With the nearest neighbours (Å) after each atom.
Element x y z (fractional)
Ac  0.0000  0.0000  0.0000  8 Sn 3.48
Ac  0.1688  0.1688  0.0000  4 Rh 3.25, 9 Sn 3.35-3.64
Ac  0.8312  0.8312  0.0000  4 Rh 3.25, 9 Sn 3.35-3.64
Sn  0.0838  0.5838  0.5000  2 Rh 2.90, 4 Sn 3.14
Sn  0.2735  0.2735  0.0000  1 Rh 2.71
Sn  0.4162  0.9162  0.5000  2 Rh 2.90, 4 Sn 3.14
Sn  0.5838  0.0838  0.5000  2 Rh 2.90, 4 Sn 3.14
Sn  0.7265  0.7265  0.0000  1 Rh 2.71
Sn  0.9162  0.4162  0.5000  2 Rh 2.90, 4 Sn 3.14
Rh  0.3580  0.3580  0.0000  5 Sn 2.71-2.90
Rh  0.6420  0.6420  0.0000  5 Sn 2.71-2.90

## Properties
Energy of formation = -6.51 eV per formula unit
Mass density = 8.4 g/cm³
Total energy = -5.23 eV/atom

---

[10]
First-principles (PBE-GGA) data for crystalline AcSn6Rh at its relaxed geometry, as listed in the Alexandria database.

Unit cell a=4.3734 b=7.0970 c=7.0970 alpha=76.05 beta=90.00 gamma=90.00
With the nearest neighbours (Å) after each atom.
Element x y z (fractional)
Ac  0.0000  0.0000  0.0000  12 Sn 3.40-3.60
Sn  0.0000  0.0158  0.5009  1 Rh 2.78, 2 Sn 3.05
Sn  0.0000  0.5009  0.0158  1 Rh 2.78, 2 Sn 3.05
Sn  0.5000  0.2419  0.2419  6 Sn 3.05-3.31
Sn  0.5000  0.3323  0.6778  2 Rh 2.92, 1 Sn 3.02
Sn  0.5000  0.6778  0.3323  2 Rh 2.92, 1 Sn 3.02
Sn  0.5000  0.7669  0.7669  2 Rh 2.78
Rh  0.0000  0.6131  0.6131  8 Sn 2.78-2.92

## Properties
Energy of formation = -2.52 eV per formula unit
Mass density = 8.1 g/cm³
Total energy = -4.75 eV/atom

---

[11]
First-principles (PBE-GGA) data for crystalline AcSnRh4 at its relaxed geometry, as listed in the Alexandria database.

Unit cell a=5.4408 b=5.4408 c=5.4408 alpha=60.00 beta=60.00 gamma=60.00
With the nearest neighbours (Å) after each atom.
Element x y z (fractional)
Ac  0.0000  0.0000  0.0000  12 Rh 3.19, 4 Sn 3.33
Sn  0.7500  0.7500  0.7500  12 Rh 3.19, 4 Ac 3.33
Rh  0.3765  0.3765  0.3765  6 Rh 2.69-2.75
Rh  0.3765  0.3765  0.8705  6 Rh 2.69-2.75
Rh  0.3765  0.8705  0.3765  6 Rh 2.69-2.75
Rh  0.8705  0.3765  0.3765  6 Rh 2.69-2.75

## Properties
Energy of formation = -2.07 eV per formula unit
Mass density = 11.0 g/cm³
Total energy = -6.60 eV/atom

---

[12]
First-principles (PBE-GGA) data for crystalline Ac3Sn2Rh at its relaxed geometry, as listed in the Alexandria database.

Unit cell a=9.9498 b=9.9498 c=9.9498 alpha=157.87 beta=146.27 gamma=40.71
With the nearest neighbours (Å) after each atom.
Element x y z (fractional)
Ac  0.0000  0.0000  0.0000  2 Rh 2.89
Ac  0.3449  0.8449  0.5000  1 Rh 2.89
Ac  0.6551  0.1551  0.5000  1 Rh 2.89
Sn  0.1613  0.6613  0.5000  7 Ac 3.42-3.56, 2 Sn 3.82
Sn  0.8387  0.3387  0.5000  7 Ac 3.42-3.56, 2 Sn 3.82
Rh  0.5000  0.0000  0.5000  4 Ac 2.89

## Properties
Energy of formation = -2.48 eV per formula unit
Mass density = 8.2 g/cm³
Total energy = -5.03 eV/atom

---

Question: total energy of number 6 (Ac6Sn3Rh)?
Answer: -4.94 eV/atom